[1]
Here is a geometry-optimized BeNi2 structure from OQMD. Energies are from GGA-PBE.

a = 6.2949 Å, b = 6.2949 Å, c = 6.2949 Å
α = 60.00°, β = 60.00°, γ = 60.00°
Last column: magnetic moment on the atom in μB.
Sites, in units of the cell vectors:
Be (0.2500, 0.2500, 0.2500)  -0.02
Be (0.5000, 0.5000, 0.5000)  -0.02
Ni (0.8750, 0.3750, 0.3750)  0.15
Ni (0.3750, 0.8750, 0.3750)  0.31
Ni (0.3750, 0.3750, 0.3750)  0.29
Ni (0.3750, 0.3750, 0.8750)  0.26

## Properties
**DFT total energy**: -3.027 eV/atom
**SG**: Fd-3m (227)
**Calculated volume**: 176 Å³/cell

---

[2]
Here is a geometry-optimized MgZnNiPb structure from OQMD. Energies are from GGA-PBE.

a = 4.6934 Å, b = 4.6934 Å, c = 4.6934 Å
α = 60.00°, β = 60.00°, γ = 60.00°
Sites, in units of the cell vectors:
Mg (0.7500, 0.7500, 0.7500)
Ni (0.5000, 0.5000, 0.5000)
Pb (0.2500, 0.2500, 0.2500)
Zn (0.0000, 0.0000, 0.0000)

## Properties
**SG**: F-43m (216)
**Calculated volume**: 73 Å³/cell
**Energy relative to the lowest polymorph listed for this composition**: 0 meV/atom

---

[3]
Here is a geometry-optimized GdTmZnIr2 structure from OQMD. Energies are from GGA-PBE.

a = 5.4779 Å, b = 5.4779 Å, c = 5.4779 Å
α = 135.34°, β = 115.92°, γ = 81.46°
Sites, in units of the cell vectors:
Gd (0.2971, 0.7971, 0.5000)
Ir (0.7302, 0.5004, 0.2298)
Ir (0.2707, 0.5004, 0.7702)
Tm (0.7034, 0.2034, 0.5000)
Zn (0.9986, 0.9986, 0.0000)

## Properties
**SG**: Imm2 (44)
**E_form**: -0.7966 eV per atom
**Calculated volume**: 100 Å³/cell

---

[4]
Here is a geometry-optimized Sr2NbTcS6 structure from OQMD. Energies are from GGA-PBE.

a = 6.7188 Å, b = 6.7188 Å, c = 6.8654 Å
α = 120.52°, β = 120.52°, γ = 59.99°
Last column: magnetic moment on the atom in μB.
Sites, in units of the cell vectors:
Nb (0.0000, 0.0000, 0.0000)  -0.17
S (0.2523, 0.2523, 0.1652)  0.04
S (0.7947, 0.3009, 0.2995)  0.05
S (0.3009, 0.7947, 0.2995)  0.05
S (0.6991, 0.2053, 0.7005)  0.05
S (0.2053, 0.6991, 0.7005)  0.05
S (0.7477, 0.7477, 0.8348)  0.04
Sr (0.7524, 0.7524, 0.2659)  0.01
Sr (0.2476, 0.2476, 0.7341)  0.01
Tc (0.5000, 0.5000, 0.5000)  1.55

## Properties
**DFT total energy**: -5.990 eV/atom
**SG**: C2/m (12)
**Calculated volume**: 217 Å³/cell

---

[5]
Here is a geometry-optimized Th2Al structure from OQMD. Energies are from GGA-PBE.

a = 9.1393 Å, b = 9.1393 Å, c = 9.1393 Å
α = 60.00°, β = 60.00°, γ = 60.00°
Last column: magnetic moment on the atom in μB.
Sites, in units of the cell vectors:
Al (0.2500, 0.2500, 0.2500)  0.00
Al (0.5000, 0.5000, 0.5000)  0.00
Th (0.3750, 0.3750, 0.3750)  0.38
Th (0.3750, 0.8750, 0.3750)  0.38
Th (0.8750, 0.3750, 0.3750)  0.45
Th (0.3750, 0.3750, 0.8750)  0.37

## Properties
**DFT total energy**: -3.788 eV/atom
**SG**: Fd-3m (227)
**Calculated volume**: 540 Å³/cell

---

[6]
Here is a geometry-optimized NbGaB4 structure from OQMD. Energies are from GGA-PBE.

a = 3.0506 Å, b = 3.0506 Å, c = 7.3552 Å
α = 90.00°, β = 90.00°, γ = 120.00°
Sites, in units of the cell vectors:
B (0.6667, 0.3333, 0.2328)
B (0.3333, 0.6667, 0.2328)
B (0.6667, 0.3333, 0.7672)
B (0.3333, 0.6667, 0.7672)
Ga (0.0000, 0.0000, 0.5000)
Nb (0.0000, 0.0000, 0.0000)

## Properties
**SG**: P6/mmm (191)
**Calculated volume**: 59 Å³/cell
**Energy relative to the lowest polymorph listed for this composition**: 0 meV/atom

---

[7]
Here is a geometry-optimized NdHgAu structure from OQMD. Energies are from GGA-PBE.

a = 4.8934 Å, b = 4.8934 Å, c = 4.8934 Å
α = 60.00°, β = 60.00°, γ = 60.00°
Last column: magnetic moment on the atom in μB.
Sites, in units of the cell vectors:
Au (0.0000, 0.0000, 0.0000)  0.02
Hg (0.2500, 0.2500, 0.2500)  0.02
Nd (0.7500, 0.7500, 0.7500)  0.07

## Properties
**SG**: F-43m (216)
**E_form**: -0.5275 eV per atom
**Calculated volume**: 83 Å³/cell

---

[8]
Here is a geometry-optimized KMgNp structure from OQMD. Energies are from GGA-PBE.

a = 5.6586 Å, b = 5.6586 Å, c = 5.6586 Å
α = 60.00°, β = 60.00°, γ = 60.00°
Sites, in units of the cell vectors:
K (0.2500, 0.2500, 0.2500)
Mg (0.0000, 0.0000, 0.0000)
Np (0.7500, 0.7500, 0.7500)

## Properties
**DFT total energy**: -3.866 eV/atom
**SG**: F-43m (216)
**Calculated volume**: 128 Å³/cell

---

[9]
Here is a geometry-optimized HfBeTlCo structure from OQMD. Energies are from GGA-PBE.

a = 4.4992 Å, b = 4.4992 Å, c = 4.4992 Å
α = 60.00°, β = 60.00°, γ = 60.00°
Sites, in units of the cell vectors:
Be (0.7500, 0.7500, 0.7500)
Co (0.0000, 0.0000, 0.0000)
Hf (0.2500, 0.2500, 0.2500)
Tl (0.5000, 0.5000, 0.5000)

## Properties
**SG**: F-43m (216)
**Calculated volume**: 64 Å³/cell
**Energy relative to the lowest polymorph listed for this composition**: 238 meV/atom

---

[10]
Here is a geometry-optimized TaHgPd structure from OQMD. Energies are from GGA-PBE.

a = 4.4911 Å, b = 4.4911 Å, c = 4.4911 Å
α = 60.00°, β = 60.00°, γ = 60.00°
Sites, in units of the cell vectors:
Hg (0.2500, 0.2500, 0.2500)
Pd (0.7500, 0.7500, 0.7500)
Ta (0.0000, 0.0000, 0.0000)

## Properties
**SG**: F-43m (216)
**E_form**: 0.5609 eV per atom
**Calculated volume**: 64 Å³/cell

---

[11]
Here is a geometry-optimized NaZr2CuF11 structure from OQMD. Energies are from GGA-PBE.

a = 5.4168 Å, b = 5.4168 Å, c = 7.6399 Å
α = 111.23°, β = 111.23°, γ = 73.69°
Last column: magnetic moment on the atom in μB.
Sites, in units of the cell vectors:
Cu (0.0000, 0.0000, 0.0000)  0.73
F (0.5000, 0.5000, 0.0000)  0.00
F (0.7123, 0.1181, 0.1530)  0.02
F (0.1181, 0.7123, 0.1530)  0.02
F (0.2164, 0.2164, 0.2202)  0.07
F (0.7225, 0.7225, 0.3818)  0.00
F (0.6799, 0.3201, 0.5000)  0.00
F (0.3201, 0.6799, 0.5000)  0.00
F (0.2775, 0.2775, 0.6182)  0.00
F (0.7836, 0.7836, 0.7798)  0.07
F (0.8819, 0.2877, 0.8470)  0.02
F (0.2877, 0.8819, 0.8470)  0.02
Na (0.0000, 0.0000, 0.5000)  0.00
Zr (0.4686, 0.4686, 0.2522)  0.01
Zr (0.5314, 0.5314, 0.7478)  0.01

## Properties
**SG**: C2/m (12)
**Calculated volume**: 192 Å³/cell
**Energy relative to the lowest polymorph listed for this composition**: 4 meV/atom

---

[12]
Here is a geometry-optimized PuPbW structure from OQMD. Energies are from GGA-PBE.

a = 4.7618 Å, b = 4.7618 Å, c = 4.7618 Å
α = 60.00°, β = 60.00°, γ = 60.00°
Sites, in units of the cell vectors:
Pb (0.7500, 0.7500, 0.7500)
Pu (0.0000, 0.0000, 0.0000)
W (0.2500, 0.2500, 0.2500)

## Properties
**SG**: F-43m (216)
**Calculated volume**: 76 Å³/cell
**Energy relative to the lowest polymorph listed for this composition**: 1125 meV/atom